## MnMoAs2P (GGA-PBE)

Data for a relaxed structure of MnMoAs2P.

a = 4.379 Å, b = 4.379 Å, c = 4.816 Å
α = 90.00°, β = 90.00°, γ = 90.00°
Space group P4/mmm (No. 123)
Asymmetric unit:
Mn 0.000 0.000 0.000 (multiplicity 1)
Mo 0.000 0.000 0.500 (multiplicity 1)
As 0.000 0.500 0.000 (multiplicity 2)
P 0.500 0.500 0.500 (multiplicity 1)

The calculated volume is 92 Å³/cell. The value obtained for the calculated density is 5.96 g/cm3. For the energy relative to the elements, the calculation gives 832 meV/atom.

***

## ZnSn2O5 (GGA-PBE)

Data for a relaxed structure of ZnSn2O5.

a = 3.991 Å, b = 10.503 Å, c = 10.424 Å
α = 90.00°, β = 90.00°, γ = 90.00°
Space group Cmcm (No. 63)
Asymmetric unit:
Zn 0.000 0.182 0.250 (multiplicity 4)
Sn 0.000 0.136 0.567 (multiplicity 8)
O 0.000 0.051 0.113 (multiplicity 8)
O 0.000 0.225 0.750 (multiplicity 4)
O 0.000 0.306 0.061 (multiplicity 8)

The calculated volume is 437 Å³/cell. As for the excess energy over the best structure of this formula in the dataset: 0.0 meV per atom. The energy relative to the elements, uncorrected comes out at -1527 meV/atom. The value obtained for the calculated density is 5.82 g/cm3.

***

## KNaWBr6 (GGA-PBE)

Data for a relaxed structure of KNaWBr6.

a = 7.3525 Å, b = 7.3525 Å, c = 13.7716 Å
α = 90.00°, β = 90.00°, γ = 120.00°
Space group P-31c (No. 163)
Asymmetric unit:
K 0.0000 0.0000 0.0000 (multiplicity 2)
Na 0.3333 0.6667 0.2500 (multiplicity 2)
W 0.3333 0.6667 0.7500 (multiplicity 2)
Br 0.0441 0.3901 0.6419 (multiplicity 12)

The calculated volume is 645 Å³/cell. The energy relative to the elements, uncorrected comes out at -947 meV/atom. The value obtained for the calculated density is 3.74 g/cm3.

***

## LiTbPmCd (GGA-PBE)

Data for a relaxed structure of LiTbPmCd.

a = 7.542 Å, b = 7.542 Å, c = 7.542 Å
α = 90.00°, β = 90.00°, γ = 90.00°
Space group F-43m (No. 216)
Asymmetric unit:
Li 0.000 0.000 0.000 (multiplicity 4)
Tb 0.250 0.250 0.250 (multiplicity 4)
Pm 0.250 0.250 0.750 (multiplicity 4)
Cd 0.000 0.000 0.500 (multiplicity 4)

The calculated volume is 429 Å³/cell. The value obtained for the calculated density is 6.55 g/cm3. For the energy relative to the elements, the calculation gives -117 meV/atom.

***

## CuTe2PdO8 (GGA-PBE)

Data for a relaxed structure of CuTe2PdO8.

a = 6.848 Å, b = 6.848 Å, c = 6.861 Å
α = 90.00°, β = 90.00°, γ = 90.00°
Space group I-4m2 (No. 119)
Asymmetric unit:
Cu 0.000 0.000 0.000 (multiplicity 2)
Te 0.000 0.000 0.500 (multiplicity 2)
Te 0.000 0.500 0.250 (multiplicity 2)
Pd 0.000 0.500 0.750 (multiplicity 2)
O 0.000 0.198 0.695 (multiplicity 8)
O 0.000 0.295 0.068 (multiplicity 8)

The calculated volume is 322 Å³/cell. The energy relative to the elements, uncorrected comes out at -349 meV/atom. The value obtained for the calculated density is 5.71 g/cm3.

***

## Ti2VCu (GGA-PBE)

Data for a relaxed structure of Ti2VCu.

a = 6.186 Å, b = 6.186 Å, c = 6.186 Å
α = 90.00°, β = 90.00°, γ = 90.00°
Space group Fm-3m (No. 225)
Asymmetric unit:
Ti 0.250 0.250 0.250 (multiplicity 8)
V 0.000 0.000 0.000 (multiplicity 4)
Cu 0.000 0.000 0.500 (multiplicity 4)

The calculated volume is 237 Å³/cell. As for the excess energy over the best structure of this formula in the dataset: 82.8 meV per atom. The value obtained for the calculated density is 5.90 g/cm3. For the energy relative to the elements, the calculation gives 52 meV/atom.

***

## CaPb3Br (GGA-PBE)

Data for a relaxed structure of CaPb3Br.

a = 6.017 Å, b = 6.017 Å, c = 6.017 Å
α = 90.00°, β = 90.00°, γ = 90.00°
Space group Pm-3m (No. 221)
Asymmetric unit:
Ca 0.000 0.000 0.000 (multiplicity 1)
Pb 0.000 0.000 0.500 (multiplicity 3)
Br 0.500 0.500 0.500 (multiplicity 1)

The calculated volume is 218 Å³/cell. As for the excess energy over the best structure of this formula in the dataset: 283.4 meV per atom. The energy relative to the elements, uncorrected comes out at 436 meV/atom. The value obtained for the calculated density is 5.65 g/cm3.

***

## BeReO2 (GGA-PBE)

Data for a relaxed structure of BeReO2.

a = 4.424 Å, b = 4.424 Å, c = 7.843 Å
α = 90.00°, β = 90.00°, γ = 90.00°
Space group I-42d (No. 122)
Asymmetric unit:
Be 0.000 0.000 0.000 (multiplicity 4)
Re 0.000 0.000 0.500 (multiplicity 4)
O 0.157 0.250 0.125 (multiplicity 8)

The calculated volume is 153 Å³/cell. The energy relative to the elements, uncorrected comes out at -1076 meV/atom. The value obtained for the calculated density is 9.83 g/cm3.

***

## Mg6Cd3Ru (GGA-PBE)

Data for a relaxed structure of Mg6Cd3Ru.

a = 10.065 Å, b = 5.762 Å, c = 7.629 Å
α = 90.00°, β = 108.50°, γ = 90.00°
Space group C2/m (No. 12)
Asymmetric unit:
Mg 0.147 0.245 0.319 (multiplicity 8)
Mg 0.152 0.000 0.878 (multiplicity 4)
Cd 0.000 0.500 0.000 (multiplicity 2)
Cd 0.106 0.500 0.681 (multiplicity 4)
Ru 0.000 0.000 0.500 (multiplicity 2)

The calculated volume is 420 Å³/cell. The value obtained for the calculated density is 4.62 g/cm3. For the energy relative to the elements, the calculation gives 33 meV/atom.

***

## ScTiCr2Pb (GGA-PBE)

Data for a relaxed structure of ScTiCr2Pb.

a = 4.547 Å, b = 4.547 Å, c = 5.377 Å
α = 90.00°, β = 90.00°, γ = 90.00°
Space group P4/mmm (No. 123)
Asymmetric unit:
Sc 0.000 0.000 0.000 (multiplicity 1)
Ti 0.500 0.500 0.500 (multiplicity 1)
Cr 0.000 0.500 0.000 (multiplicity 2)
Pb 0.000 0.000 0.500 (multiplicity 1)

The calculated volume is 111 Å³/cell. The value obtained for the calculated density is 6.03 g/cm3. For the energy relative to the elements, the calculation gives 1417 meV/atom.

***

## La2MgHRu (GGA-PBE)

Data for a relaxed structure of La2MgHRu.

a = 5.636 Å, b = 5.636 Å, c = 3.636 Å
α = 90.00°, β = 90.00°, γ = 90.00°
Space group P4/mmm (No. 123)
Asymmetric unit:
La 0.000 0.500 0.000 (multiplicity 2)
Mg 0.000 0.000 0.500 (multiplicity 1)
H 0.500 0.500 0.500 (multiplicity 1)
Ru 0.500 0.500 0.000 (multiplicity 1)

The calculated volume is 115 Å³/cell. As for the excess energy over the best structure of this formula in the dataset: 206.4 meV per atom. The value obtained for the calculated density is 5.81 g/cm3.

***

## SrUGaO6 (GGA-PBE)

Data for a relaxed structure of SrUGaO6.

a = 5.3930 Å, b = 5.3930 Å, c = 10.9017 Å
α = 90.00°, β = 90.00°, γ = 120.00°
Space group P-31c (No. 163)
Asymmetric unit:
Sr 0.0000 0.0000 0.0000 (multiplicity 2)
U 0.3333 0.6667 0.2500 (multiplicity 2)
Ga 0.3333 0.6667 0.7500 (multiplicity 2)
O 0.0080 0.3718 0.6475 (multiplicity 12)

The calculated volume is 275 Å³/cell. The energy relative to the elements, uncorrected comes out at -2459 meV/atom. The value obtained for the calculated density is 5.94 g/cm3.

***

## Nd3InHg2 (GGA-PBE)

Data for a relaxed structure of Nd3InHg2.

a = 3.814 Å, b = 3.814 Å, c = 11.800 Å
α = 90.00°, β = 90.00°, γ = 90.00°
Space group P4/mmm (No. 123)
Asymmetric unit:
Nd 0.000 0.000 0.000 (multiplicity 1)
Nd 0.000 0.000 0.329 (multiplicity 2)
In 0.500 0.500 0.500 (multiplicity 1)
Hg 0.500 0.500 0.164 (multiplicity 2)

The calculated volume is 172 Å³/cell. As for the excess energy over the best structure of this formula in the dataset: 0.0 meV per atom. The value obtained for the calculated density is 9.18 g/cm3. For the energy relative to the elements, the calculation gives -473 meV/atom.

***

## Li2DyInI6 (GGA-PBE)

Data for a relaxed structure of Li2DyInI6.

a = 7.8231 Å, b = 7.8231 Å, c = 21.5916 Å
α = 90.00°, β = 90.00°, γ = 120.00°
Space group R3 (No. 146, hexagonal axes)
Asymmetric unit:
Li 0.0000 0.0000 0.0000 (multiplicity 3)
Li 0.0000 0.0000 0.4940 (multiplicity 3)
Dy 0.0000 0.0000 0.6782 (multiplicity 3)
In 0.0000 0.0000 0.1906 (multiplicity 3)
I 0.0059 0.3366 0.0818 (multiplicity 9)
I 0.0078 0.6088 0.2549 (multiplicity 9)

The calculated volume is 1144 Å³/cell. The energy relative to the elements, uncorrected comes out at -1096 meV/atom. The value obtained for the calculated density is 4.58 g/cm3.

***

## MgU6 (GGA-PBE)

Data for a relaxed structure of MgU6.

a = 7.123 Å, b = 7.123 Å, c = 7.123 Å
α = 90.00°, β = 90.00°, γ = 90.00°
Space group Im-3m (No. 229)
Asymmetric unit:
Mg 0.000 0.000 0.000 (multiplicity 2)
U 0.000 0.250 0.500 (multiplicity 12)

The calculated volume is 361 Å³/cell. The value obtained for the calculated density is 13.35 g/cm3. For the energy relative to the elements, the calculation gives 1018 meV/atom.

***

## ZrAgB (GGA-PBE)

Data for a relaxed structure of ZrAgB.

a = 12.014 Å, b = 3.185 Å, c = 4.922 Å
α = 90.00°, β = 100.66°, γ = 90.00°
Space group C2/m (No. 12)
Asymmetric unit:
Zr 0.151 0.000 0.332 (multiplicity 4)
Ag 0.066 0.500 0.779 (multiplicity 4)
B 0.250 0.000 0.931 (multiplicity 4)

The calculated volume is 185 Å³/cell. The value obtained for the calculated density is 7.53 g/cm3. For the energy relative to the elements, the calculation gives -201 meV/atom.

***

## FeS3N (GGA-PBE)

Data for a relaxed structure of FeS3N.

a = 3.990 Å, b = 3.990 Å, c = 3.990 Å
α = 90.00°, β = 90.00°, γ = 90.00°
Space group Pm-3m (No. 221)
Asymmetric unit:
Fe 0.000 0.000 0.000 (multiplicity 1)
S 0.000 0.500 0.500 (multiplicity 3)
N 0.500 0.500 0.500 (multiplicity 1)

The calculated volume is 64 Å³/cell. The energy relative to the elements, uncorrected comes out at 1380 meV/atom. The value obtained for the calculated density is 4.34 g/cm3.

***

## Sb3HPd6 (GGA-PBE)

Data for a relaxed structure of Sb3HPd6.

a = 10.877 Å, b = 11.343 Å, c = 5.642 Å
α = 90.00°, β = 90.00°, γ = 90.00°
Space group Cmc2_1 (No. 36)
Asymmetric unit:
Sb 0.000 0.110 0.000 (multiplicity 4)
Sb 0.187 0.356 0.257 (multiplicity 8)
H 0.000 0.404 0.772 (multiplicity 4)
Pd 0.000 0.218 0.417 (multiplicity 4)
Pd 0.000 0.478 0.487 (multiplicity 4)
Pd 0.133 0.301 0.804 (multiplicity 8)
Pd 0.177 0.041 0.383 (multiplicity 8)

The calculated volume is 696 Å³/cell. The value obtained for the total energy is -4.9701 eV per atom. The value obtained for the calculated density is 9.59 g/cm3.

***

## SbPb2Au (GGA-PBE)

Data for a relaxed structure of SbPb2Au.

a = 4.458 Å, b = 4.937 Å, c = 4.949 Å
α = 90.00°, β = 90.00°, γ = 90.00°
Space group Pmmm (No. 47)
Asymmetric unit:
Sb 0.000 0.000 0.000 (multiplicity 1)
Pb 0.500 0.000 0.500 (multiplicity 1)
Pb 0.500 0.500 0.000 (multiplicity 1)
Au 0.000 0.500 0.500 (multiplicity 1)

The calculated volume is 109 Å³/cell. The energy relative to the elements, uncorrected comes out at 65 meV/atom. The value obtained for the calculated density is 11.18 g/cm3.

***

## PuThSc2Se4 (GGA-PBE)

Data for a relaxed structure of PuThSc2Se4.

a = 6.851 Å, b = 3.933 Å, c = 7.196 Å
α = 90.00°, β = 108.26°, γ = 90.00°
Space group P2/m (No. 10)
Asymmetric unit:
Pu 0.000 0.000 0.000 (multiplicity 1)
Th 0.500 0.500 0.000 (multiplicity 1)
Sc 0.000 0.500 0.500 (multiplicity 1)
Sc 0.500 0.000 0.500 (multiplicity 1)
Se 0.238 0.000 0.722 (multiplicity 2)
Se 0.255 0.500 0.274 (multiplicity 2)

The calculated volume is 184 Å³/cell. The energy relative to the elements, uncorrected comes out at -1559 meV/atom. The value obtained for the calculated density is 7.95 g/cm3.